Entry from the Alexandria database: crystalline CaAlCd2 at its relaxed geometry (GGA-PBE).

Summary:
Size of the total moment ... 0.00 Bohr magnetons per cell
Uncorrected energy ... -7.404 eV per formula unit
Symmetry ... R-3m, No. 166
Energy relative to the elements ... 0.043 eV per atom

Cell lengths 9.656, 9.656, 9.656 Å; angles 21.17, 21.17, 21.17 degrees
Fractional positions:
1 Cd 0.492 0.492 0.492
2 Cd 0.008 0.008 0.008
3 Al 0.750 0.750 0.750
4 Ca 0.250 0.250 0.250